YTe2N2 | PBE | optimized geometry

Lattice parameters (Å, degrees): 4.265 4.265 5.729 90.00 90.00 90.00
Positions (direct):
Y 0.500 0.500 0.500
Te 0.000 0.000 0.000
Te 0.000 0.000 0.500
N 0.000 0.500 0.000
N 0.500 0.000 0.000

Uncorrected energy (eV/atom): -5.124
Relative energy among the computed polymorphs (meV per atom): 0
ΔE_f (raw) (eV per atom): 0.756